First-principles (GGA-PBE) data for a geometry-optimized Cd4Pd structure, as listed in Alexandria.

## Properties
**DOS at the Fermi energy**: 2.14 states/eV per cell
**Uncorrected energy**: -1.70 eV per atom
**Crystal system**: cubic
**DFT formation energy**: 69 meV/atom

extended XYZ file:
```
5
Lattice="5.2201 0.0000 0.0000 0.0000 5.2201 0.0000 0.0000 0.0000 5.2201" Properties=species:S:1:pos:R:3 pbc="T T T"
Cd 0.0000 2.6101 2.6101
Cd 2.6101 2.6101 0.0000
Cd 2.6101 0.0000 2.6101
Cd 0.0000 0.0000 0.0000
Pd 2.6101 2.6101 2.6101
```